Computed, not measured: ZrBNO2 after structural relaxation at the PBE level of DFT.

Values from the calculation:
- Raw formation energy: -1.304 eV per atom
- Symmetry: P4/mmm (123)
- E: -7.998 eV per atom
- Fermi-level density of states: 0.1 states/eV/f.u.

abc: 3.3503 3.3503 3.6068
angles: 90.00 90.00 90.00
Sites, in units of the cell vectors:
Zr 0.0000 0.0000 0.0000
B 0.5000 0.5000 0.5000
N 0.5000 0.5000 0.0000
O 0.0000 0.5000 0.5000
O 0.5000 0.0000 0.5000

Computed, not measured: Dy6Y8Er after structural relaxation at the PBE level of DFT.

Values from the calculation:
- Symmetry: R-3 (148)
- Formation energy from the elements: 0.185 eV per atom
- E: -5.408 eV per atom
- Fermi-level density of states: 21.3 states/eV/f.u.
- Energy above the most stable polymorph in this dataset: 56 meV per atom

abc: 8.1432 8.1432 8.1432
angles: 73.25 73.25 73.25
Sites, in units of the cell vectors:
Dy 0.1129 0.7856 0.5676
Dy 0.2144 0.4324 0.8871
Dy 0.4324 0.8871 0.2144
Dy 0.5676 0.1129 0.7856
Dy 0.7856 0.5676 0.1129
Dy 0.8871 0.2144 0.4324
Y 0.0881 0.0881 0.0881
Y 0.1450 0.5713 0.2700
Y 0.2700 0.1450 0.5713
Y 0.4287 0.7300 0.8550
Y 0.5713 0.2700 0.1450
Y 0.7300 0.8550 0.4287
Y 0.8550 0.4287 0.7300
Y 0.9119 0.9119 0.9119
Er 0.5000 0.5000 0.5000